First-principles (PBE-GGA) data for PrTlCdO3 after structural relaxation, as listed in OQMD via LeMat-Bulk.

a b c (Å): 3.6928 13.7933 8.9876
angles (deg): 90.00 90.00 90.00
Space group Cmcm (No. 63)
Symmetry-distinct sites (fractional):
Pr (0.0000, 0.0000, 0.0000)
Tl (0.0000, 0.3335, 0.2500)
Cd (0.0000, 0.3350, 0.7500)
O (0.0000, 0.0587, 0.7500)
O (0.0000, 0.3919, 0.5350)

Properties
final energy: -5.54 eV/atom

=====

First-principles (PBE-GGA) data for Cd2Pt2O5 after structural relaxation, as listed in OQMD via LeMat-Bulk.

a b c (Å): 3.8909 3.8909 8.1147
angles (deg): 90.00 90.00 90.00
Space group P4/mmm (No. 123)
Symmetry-distinct sites (fractional):
Cd (0.0000, 0.0000, 0.0000)
Cd (0.0000, 0.0000, 0.5000)
Pt (0.5000, 0.5000, 0.2340)
O (0.0000, 0.5000, 0.1809)
O (0.5000, 0.5000, 0.5000)

Properties
energy above the lowest structure with this stoichiometry: 0.000 eV/atom
final energy: -4.62 eV/atom

=====

First-principles (PBE-GGA) data for CdPtO3 after structural relaxation, as listed in OQMD via LeMat-Bulk.

a b c (Å): 3.9163 3.9163 4.1079
angles (deg): 90.00 90.00 90.00
Space group P4mm (No. 99)
Symmetry-distinct sites (fractional):
Cd (0.0000, 0.0000, 0.0000)
Pt (0.5000, 0.5000, 0.5732)
O (0.0000, 0.5000, 0.6714)
O (0.5000, 0.5000, 0.0947)

Properties
final energy: -4.69 eV/atom

=====

First-principles (PBE-GGA) data for CdPtO3 after structural relaxation, as listed in OQMD via LeMat-Bulk.

a b c (Å): 5.4146 5.4146 14.8561
angles (deg): 90.00 90.00 120.00
Space group R-3 (No. 148, hexagonal axes)
Symmetry-distinct sites (fractional):
Cd (0.0000, 0.0000, 0.1322)
Pt (0.0000, 0.0000, 0.3393)
O (0.0152, 0.6346, 0.9248)

Properties
final energy: -5.07 eV/atom

=====

First-principles (PBE-GGA) data for CdPtO3 after structural relaxation, as listed in OQMD via LeMat-Bulk.

a b c (Å): 5.5577 7.7169 5.4182
angles (deg): 90.00 90.00 90.00
Space group Pnma (No. 62)
Symmetry-distinct sites (fractional):
Cd (0.0508, 0.2500, 0.0157)
Pt (0.0000, 0.0000, 0.5000)
O (0.0586, 0.7500, 0.3794)
O (0.2066, 0.5692, 0.7968)

Properties
final energy: -5.01 eV/atom

=====

First-principles (PBE-GGA) data for CdPtO3 after structural relaxation, as listed in OQMD via LeMat-Bulk.

a b c (Å): 10.6352 9.4841 5.5419
angles (deg): 90.00 98.86 90.00
Space group C2/c (No. 15)
Symmetry-distinct sites (fractional):
Cd (0.0000, 0.0793, 0.2500)
Cd (0.0000, 0.3386, 0.7500)
Pt (0.2139, 0.3598, 0.3231)
O (0.1078, 0.1049, 0.6204)
O (0.1151, 0.2458, 0.0928)
O (0.1439, 0.4720, 0.5600)

Properties
final energy: -4.73 eV/atom

=====

First-principles (PBE-GGA) data for Cd6PtO8 after structural relaxation, as listed in OQMD via LeMat-Bulk.

a b c (Å): 9.3682 9.3682 9.3682
angles (deg): 90.00 90.00 90.00
Space group Fm-3m (No. 225)
Symmetry-distinct sites (fractional):
Cd (0.0000, 0.2500, 0.2500)
Pt (0.0000, 0.0000, 0.0000)
O (0.0000, 0.0000, 0.2186)
O (0.2500, 0.2500, 0.2500)

Properties
final energy: -4.36 eV/atom

=====

First-principles (PBE-GGA) data for Cd2Pt2O5 after structural relaxation, as listed in OQMD via LeMat-Bulk.

a b c (Å): 3.5139 3.5139 9.4025
angles (deg): 90.00 90.00 90.00
Space group P4/mmm (No. 123)
Symmetry-distinct sites (fractional):
Cd (0.0000, 0.0000, 0.2281)
Pt (0.5000, 0.5000, 0.0000)
Pt (0.5000, 0.5000, 0.5000)
O (0.0000, 0.0000, 0.0000)
O (0.0000, 0.5000, 0.3769)

Properties
energy above the lowest structure with this stoichiometry: 0.192 eV/atom
final energy: -4.43 eV/atom

=====

First-principles (PBE-GGA) data for Cd2PtO4 after structural relaxation, as listed in OQMD via LeMat-Bulk.

a b c (Å): 5.5866 9.8491 3.1764
angles (deg): 90.00 90.00 90.00
Space group Pbam (No. 55)
Symmetry-distinct sites (fractional):
Cd (0.0581, 0.1781, 0.0000)
Pt (0.0000, 0.5000, 0.5000)
O (0.1380, 0.6908, 0.5000)
O (0.2248, 0.4642, 0.0000)

Properties
final energy: -4.80 eV/atom

=====

First-principles (PBE-GGA) data for CdPtO3 after structural relaxation, as listed in OQMD via LeMat-Bulk.

a b c (Å): 5.6178 5.6178 12.6972
angles (deg): 90.00 90.00 120.00
Space group R-3c (No. 167, hexagonal axes)
Symmetry-distinct sites (fractional):
Cd (0.0000, 0.0000, 0.2500)
Pt (0.0000, 0.0000, 0.0000)
O (0.0000, 0.3865, 0.2500)

Properties
final energy: -4.97 eV/atom

=====

First-principles (PBE-GGA) data for SrCd3Pt4O12 after structural relaxation, as listed in OQMD via LeMat-Bulk.

a b c (Å): 7.8140 7.8140 7.8140
angles (deg): 90.00 90.00 90.00
Space group Im-3 (No. 204)
Symmetry-distinct sites (fractional):
Sr (0.0000, 0.0000, 0.0000)
Cd (0.0000, 0.0000, 0.5000)
Pt (0.2500, 0.2500, 0.2500)
O (0.0000, 0.2931, 0.1881)

Properties
final energy: -5.22 eV/atom

=====

First-principles (PBE-GGA) data for TmCd3Pt4O12 after structural relaxation, as listed in OQMD via LeMat-Bulk.

a b c (Å): 7.7957 7.7957 7.7957
angles (deg): 90.00 90.00 90.00
Space group Im-3 (No. 204)
Symmetry-distinct sites (fractional):
Tm (0.0000, 0.0000, 0.0000)
Cd (0.0000, 0.0000, 0.5000)
Pt (0.2500, 0.2500, 0.2500)
O (0.0000, 0.1740, 0.2772)

Properties
final energy: -5.45 eV/atom